Entry 1:
A plane-wave DFT calculation with PBE-GGA was carried out for crystalline CaAl at its relaxed geometry.

Properties
* formation enthalpy at 0 K: 0.085 eV per atom
* total magnetization: 0.0 Bohr magnetons per cell
* theoretical density: 2.0 g/cm3
* crystal system: hexagonal

Cell: 3.557 3.557 10.203 Å, 90.00 90.00 120.00°
Element x y z (fractional)
Al1 0.667 0.333 0.750
Al2 0.333 0.667 0.250
Ca1 0.000 0.000 0.000
Ca2 0.000 0.000 0.500

Entry 2:
A plane-wave DFT calculation with PBE-GGA was carried out for crystalline Ca2Al at its relaxed geometry.

Properties
* formation enthalpy at 0 K: -0.125 eV per atom
* total magnetization: 0.0 Bohr magnetons per cell
* theoretical density: 1.9 g/cm3
* crystal system: cubic

Cell: 10.138 10.138 10.138 Å, 60.00 60.00 60.00°
Element x y z (fractional)
Al1 0.391 0.703 0.203
Al2 0.703 0.703 0.891
Al3 0.297 0.297 0.797
Al4 0.297 0.609 0.797
Al5 0.609 0.297 0.797
Al6 0.297 0.297 0.109
Al7 0.703 0.391 0.203
Al8 0.703 0.703 0.203
Ca1 0.068 0.068 0.182
Ca2 0.682 0.068 0.568
Ca3 0.932 0.932 0.818
Ca4 0.500 0.500 0.500
Ca5 0.500 0.000 0.000
Ca6 0.318 0.318 0.432
Ca7 0.318 0.932 0.432
Ca8 0.318 0.932 0.818
Ca9 0.682 0.682 0.568
Ca10 0.500 0.500 0.000
Ca11 0.068 0.682 0.182
Ca12 0.000 0.500 0.000
Ca13 0.682 0.068 0.182
Ca14 0.932 0.318 0.432
Ca15 0.068 0.682 0.568
Ca16 0.932 0.318 0.818

Entry 3:
A plane-wave DFT calculation with PBE-GGA was carried out for crystalline CaAl5 at its relaxed geometry.

Properties
* formation enthalpy at 0 K: -0.083 eV per atom
* total magnetization: 0.0 Bohr magnetons per cell
* theoretical density: 2.5 g/cm3
* crystal system: orthorhombic

Cell: 6.627 6.627 4.319 Å, 90.00 90.00 143.02°
Element x y z (fractional)
Al1 0.147 0.853 0.500
Al2 0.472 0.528 0.500
Al3 0.651 0.349 0.000
Al4 0.798 0.202 0.500
Al5 0.294 0.706 0.000
Ca1 0.972 0.028 0.000

Entry 4:
A plane-wave DFT calculation with PBE-GGA was carried out for crystalline CaAl at its relaxed geometry.

Properties
* formation enthalpy at 0 K: 0.916 eV per atom
* total magnetization: 0.0 Bohr magnetons per cell
* theoretical density: 1.0 g/cm3
* crystal system: cubic

Cell: 8.739 8.739 8.739 Å, 90.00 90.00 90.00°
Element x y z (fractional)
Al1 0.000 0.750 0.500
Al2 0.000 0.250 0.500
Al3 0.500 0.000 0.750
Al4 0.750 0.500 0.000
Al5 0.250 0.500 0.000
Al6 0.500 0.000 0.250
Ca1 0.000 0.500 0.750
Ca2 0.500 0.750 0.000
Ca3 0.750 0.000 0.500
Ca4 0.250 0.000 0.500
Ca5 0.000 0.500 0.250
Ca6 0.500 0.250 0.000

Entry 5:
A plane-wave DFT calculation with PBE-GGA was carried out for crystalline Ca4Al5 at its relaxed geometry.

Properties
* formation enthalpy at 0 K: -0.091 eV per atom
* total magnetization: 0.0 Bohr magnetons per cell
* theoretical density: 2.1 g/cm3
* crystal system: tetragonal

Cell: 7.500 7.500 7.500 Å, 95.19 95.19 145.01°
Element x y z (fractional)
Al1 0.640 0.360 0.000
Al2 0.000 0.000 0.000
Al3 0.640 0.640 0.280
Al4 0.360 0.640 0.000
Al5 0.360 0.360 0.720
Ca1 0.695 0.000 0.695
Ca2 0.000 0.305 0.305
Ca3 0.000 0.695 0.695
Ca4 0.305 0.000 0.305

Entry 6:
A plane-wave DFT calculation with PBE-GGA was carried out for crystalline CaAl3 at its relaxed geometry.

Properties
* formation enthalpy at 0 K: 0.012 eV per atom
* total magnetization: 0.0 Bohr magnetons per cell
* theoretical density: 2.5 g/cm3
* crystal system: cubic

Cell: 4.844 4.844 4.844 Å, 60.00 60.00 60.00°
Element x y z (fractional)
Al1 0.000 0.000 0.000
Al2 0.250 0.250 0.250
Al3 0.500 0.500 0.500
Ca1 0.750 0.750 0.750